(1)
DFT (PBE) results for a relaxed FeHgPb2 crystal.

POSCAR file:
```
FeHgPb2
1.0
2.288 -2.318 0.000
2.288 2.318 0.000
0.000 0.000 9.140
Fe Hg Pb
1 1 2
Cartesian
0.000 0.000 0.000 Fe
2.288 0.000 7.528 Hg
0.000 0.000 5.025 Pb
2.288 0.000 1.977 Pb
```

Electronic total energy in eV/atom: -3.695
Formation enthalpy at 0 K in meV/atom: 350

---

(2)
DFT (PBE) results for a relaxed Rb3Er2MgS6 crystal.

POSCAR file:
```
Rb3Er2MgS6
1.0
3.460 -5.995 0.000
3.460 5.995 0.000
-2.309 0.000 7.686
Rb Er Mg S
3 2 1 6
Cartesian
0.000 0.000 0.000 Rb
3.460 1.995 0.000 Rb
3.460 -1.995 0.000 Rb
2.306 3.997 3.843 Er
2.306 -3.997 3.843 Er
2.306 0.000 3.843 Mg
1.164 1.979 2.392 S
0.022 0.000 5.294 S
1.164 -1.979 2.392 S
3.448 1.979 5.294 S
4.590 0.000 2.392 S
3.448 -1.979 5.294 S
```

Electronic total energy in eV/atom: -4.722
E_form (uncorrected) in eV/atom: -1.523

---

(3)
DFT (PBE) results for a relaxed Ca2ZrCl crystal.

POSCAR file:
```
Ca2ZrCl
1.0
3.560 0.000 0.000
0.000 5.208 0.000
0.000 0.000 6.394
Ca Zr Cl
2 1 1
Cartesian
0.000 0.000 0.000 Ca
1.780 0.000 3.197 Ca
0.000 2.604 3.197 Zr
1.780 2.604 0.000 Cl
```

Electronic total energy in eV/atom: -3.545
E_form (uncorrected) in eV/atom: 0.054

---

(4)
DFT (PBE) results for a relaxed LiTb2DyHg4 crystal.

POSCAR file:
```
LiTb2DyHg4
1.0
2.579 1.489 8.534
-2.579 1.489 8.534
0.000 -2.978 8.534
Li Tb Dy Hg
1 2 1 4
Cartesian
0.000 0.000 0.000 Li
0.000 0.000 6.516 Tb
0.000 0.000 19.086 Tb
0.000 0.000 12.801 Dy
0.000 0.000 3.158 Hg
0.000 0.000 9.586 Hg
0.000 0.000 16.017 Hg
0.000 0.000 22.445 Hg
```

Electronic total energy in eV/atom: -2.581
Formation enthalpy at 0 K in meV/atom: -458

---

Number 4 is which compound? LiTb2DyHg4